A relaxed structure of K3HfSi. Source: the Alexandria database, functional PBE.

Uncorrected formation energy in meV/atom: 1328

Cell: 6.3615 6.3615 6.3615 Å, 90.00 90.00 90.00°
With the nearest neighbours (Å) after each atom.
Fractional coordinates of all 5 atoms:
K (0.0000, 0.0000, 0.5000)  2 Si 3.18
K (0.0000, 0.5000, 0.0000)  2 Si 3.18
K (0.5000, 0.0000, 0.0000)  2 Si 3.18
Hf (0.5000, 0.5000, 0.5000)  12 K 4.50
Si (0.0000, 0.0000, 0.0000)  6 K 3.18


A relaxed structure of Ac2Ga3GeAu4. Source: the Alexandria database, functional PBE.

Formation energy in eV/atom: -0.659

Cell: 4.6325 4.6325 10.4505 Å, 90.00 90.00 90.00°
With the nearest neighbours (Å) after each atom.
Fractional coordinates of all 10 atoms:
Ac (0.0000, 0.5000, 0.2492)  8 Au 3.48-3.52, 2 Ge 3.50, 6 Ga 3.50-3.52
Ac (0.5000, 0.0000, 0.7508)  8 Au 3.48-3.52, 2 Ge 3.50, 6 Ga 3.50-3.52
Ga (0.0000, 0.5000, 0.8735)  5 Au 2.57-2.67
Ga (0.5000, 0.0000, 0.1265)  5 Au 2.57-2.67
Ga (0.5000, 0.5000, 0.5000)  4 Au 2.67
Ge (0.0000, 0.0000, 0.5000)  4 Au 2.67
Au (0.0000, 0.0000, 0.0000)  4 Ga 2.67
Au (0.0000, 0.5000, 0.6276)  3 Ga 2.57-2.67, 2 Ge 2.67
Au (0.5000, 0.0000, 0.3724)  3 Ga 2.57-2.67, 2 Ge 2.67
Au (0.5000, 0.5000, 0.0000)  4 Ga 2.67


A relaxed structure of Sm3PtSCl. Source: the Alexandria database, functional PBE.

Uncorrected formation energy in meV/atom: -1299

Cell: 8.2586 4.0401 9.3739 Å, 90.00 102.82 90.00°
With the nearest neighbours (Å) after each atom.
Fractional coordinates of all 12 atoms:
Sm (0.0777, 0.2500, 0.3371)  3 Pt 2.86-2.90, 2 S 2.99
Sm (0.2187, 0.2500, 0.9925)  3 Cl 2.80-3.05, 1 Pt 3.10
Sm (0.4030, 0.7500, 0.6105)  1 Cl 2.70, 2 Pt 2.91
Sm (0.5970, 0.2500, 0.3895)  1 Cl 2.70, 2 Pt 2.91
Sm (0.7813, 0.7500, 0.0075)  3 Cl 2.80-3.05, 1 Pt 3.10
Sm (0.9223, 0.7500, 0.6629)  3 Pt 2.86-2.90, 2 S 2.99
Pt (0.1654, 0.2500, 0.6544)  6 Sm 2.86-3.10
Pt (0.8346, 0.7500, 0.3456)  6 Sm 2.86-3.10
S (0.3166, 0.7500, 0.2685)  7 Sm 2.99-3.24
S (0.6834, 0.2500, 0.7315)  7 Sm 2.99-3.24
Cl (0.4052, 0.7500, 0.8989)  3 Sm 2.70-2.80, 2 Cl 2.97
Cl (0.5948, 0.2500, 0.1011)  3 Sm 2.70-2.80, 2 Cl 2.97


A relaxed structure of HoMg3Au2. Source: the Alexandria database, functional PBE.

Formation energy in eV/atom: -0.595

Cell: 4.2944 8.4719 7.1142 Å, 90.00 90.00 90.00°
With the nearest neighbours (Å) after each atom.
Fractional coordinates of all 12 atoms:
Ho (0.0000, 0.0809, 0.0000)  5 Au 2.98-3.14, 2 Mg 3.33
Ho (0.0000, 0.9191, 0.5000)  5 Au 2.98-3.14, 2 Mg 3.33
Mg (0.0000, 0.3175, 0.6110)  4 Au 2.70-2.81
Mg (0.0000, 0.6825, 0.1110)  4 Au 2.70-2.81
Mg (0.5000, 0.1989, 0.3289)  4 Au 2.73-2.84
Mg (0.5000, 0.4192, 0.9379)  5 Au 2.98-3.14, 5 Mg 3.28-3.33
Mg (0.5000, 0.5808, 0.4379)  5 Au 2.98-3.14, 5 Mg 3.28-3.33
Mg (0.5000, 0.8011, 0.8289)  4 Au 2.73-2.84
Au (0.0000, 0.3780, 0.2249)  6 Mg 2.70-2.98, 1 Ho 2.98
Au (0.0000, 0.6220, 0.7249)  6 Mg 2.70-2.98, 1 Ho 2.98
Au (0.5000, 0.1213, 0.7126)  5 Mg 2.81-2.99, 4 Ho 2.98-3.14
Au (0.5000, 0.8787, 0.2126)  5 Mg 2.81-2.99, 4 Ho 2.98-3.14


- Number 1 is which compound?
  K3HfSi


Copy entry 1 word for word.
A relaxed structure of K3HfSi. Source: the Alexandria database, functional PBE.

Uncorrected formation energy in meV/atom: 1328

Cell: 6.3615 6.3615 6.3615 Å, 90.00 90.00 90.00°
With the nearest neighbours (Å) after each atom.
Fractional coordinates of all 5 atoms:
K (0.0000, 0.0000, 0.5000)  2 Si 3.18
K (0.0000, 0.5000, 0.0000)  2 Si 3.18
K (0.5000, 0.0000, 0.0000)  2 Si 3.18
Hf (0.5000, 0.5000, 0.5000)  12 K 4.50
Si (0.0000, 0.0000, 0.0000)  6 K 3.18